(1)
DFT (PBE-GGA) results for a geometry-optimized SiOs2Au structure.

Cell: 5.439 9.286 2.781 Å, 90.00 119.98 90.00°
Space group C2/m (No. 12)
Inequivalent atoms, fractional coordinates:
Si  0.000  0.000  0.000 x2
Os  0.250  0.250  0.500 x4
Au  0.000  0.500  0.000 x2

## Properties
Electronic total energy, eV per atom: -7.21
Offset from the most stable computed form, eV/atom: 0.432
Density, g/cm3: 16.527
Formation energy from raw total energies, eV per atom: 0.5781

=====

(2)
DFT (PBE-GGA) results for a geometry-optimized SiOs2Au structure.

Cell: 3.889 3.889 18.181 Å, 90.00 90.00 90.00°
Space group I-42d (No. 122)
Inequivalent atoms, fractional coordinates:
Si  0.000  0.000  0.000 x4
Os  0.175  0.250  0.125 x8
Au  0.000  0.000  0.500 x4

## Properties
Electronic total energy, eV per atom: -7.04
Offset from the most stable computed form, eV/atom: 0.602
Density, g/cm3: 14.623
Formation energy from raw total energies, eV per atom: 0.7487

=====

(3)
DFT (PBE-GGA) results for a geometry-optimized Si2OsAu structure.

Cell: 4.037 4.037 7.173 Å, 90.00 90.00 90.00°
Space group I4/mmm (No. 139)
Inequivalent atoms, fractional coordinates:
Si  0.000  0.500  0.250 x4
Os  0.000  0.000  0.000 x2
Au  0.000  0.000  0.500 x2

## Properties
Electronic total energy, eV per atom: -6.03
Offset from the most stable computed form, eV/atom: 0.366
Density, g/cm3: 12.597
Formation energy from raw total energies, eV per atom: 0.3097

=====

(4)
DFT (PBE-GGA) results for a geometry-optimized SiOs2Au structure.

Cell: 2.861 4.785 8.875 Å, 90.00 90.00 90.00°
Space group Cmmm (No. 65)
Inequivalent atoms, fractional coordinates:
Si  0.000  0.000  0.000 x2
Os  0.000  0.500  0.214 x4
Au  0.000  0.000  0.500 x2

## Properties
Electronic total energy, eV per atom: -7.46
Offset from the most stable computed form, eV/atom: 0.188
Density, g/cm3: 16.553
Formation energy from raw total energies, eV per atom: 0.3342

=====

(5)
DFT (PBE-GGA) results for a geometry-optimized SiOsAu structure.

Cell: 3.032 3.032 9.930 Å, 90.00 90.00 90.00°
Space group I4mm (No. 107)
Inequivalent atoms, fractional coordinates:
Si  0.000  0.000  0.000 x2
Os  0.000  0.000  0.388 x2
Au  0.000  0.000  0.680 x2

## Properties
Electronic total energy, eV per atom: -6.48
Offset from the most stable computed form, eV/atom: 0.056
Density, g/cm3: 15.106
Formation energy from raw total energies, eV per atom: 0.1589

=====

(6)
DFT (PBE-GGA) results for a geometry-optimized SiOsAu2 structure.

Cell: 6.392 6.392 6.392 Å, 90.00 90.00 90.00°
Space group Fm-3m (No. 225)
Inequivalent atoms, fractional coordinates:
Si  0.000  0.000  0.000 x4
Os  0.000  0.000  0.500 x4
Au  0.250  0.250  0.250 x8

## Properties
Electronic total energy, eV per atom: -5.00
Offset from the most stable computed form, eV/atom: 0.670
Density, g/cm3: 15.568
Formation energy from raw total energies, eV per atom: 0.7983

=====

(7)
DFT (PBE-GGA) results for a geometry-optimized SiOsAu2 structure.

Cell: 2.785 4.899 9.693 Å, 90.00 90.00 90.00°
Space group Cmmm (No. 65)
Inequivalent atoms, fractional coordinates:
Si  0.000  0.000  0.000 x2
Os  0.000  0.000  0.500 x2
Au  0.000  0.500  0.246 x4

## Properties
Electronic total energy, eV per atom: -5.22
Offset from the most stable computed form, eV/atom: 0.454
Density, g/cm3: 15.375
Formation energy from raw total energies, eV per atom: 0.5825

=====

(8)
DFT (PBE-GGA) results for a geometry-optimized SiOsAu2 structure.

Cell: 3.730 3.730 19.704 Å, 90.00 90.00 90.00°
Space group I-42d (No. 122)
Inequivalent atoms, fractional coordinates:
Si  0.000  0.000  0.000 x4
Os  0.000  0.000  0.500 x4
Au  0.249  0.250  0.625 x8

## Properties
Electronic total energy, eV per atom: -5.23
Offset from the most stable computed form, eV/atom: 0.442
Density, g/cm3: 14.834
Formation energy from raw total energies, eV per atom: 0.5705

=====

(9)
DFT (PBE-GGA) results for a geometry-optimized SiOsAu2 structure.

Cell: 8.389 3.030 5.543 Å, 90.00 106.74 90.00°
Space group Cm (No. 8)
Inequivalent atoms, fractional coordinates:
Si  0.000  0.000  0.000 x2
Os  0.228  0.500  0.085 x2
Au  0.004  0.500  0.397 x2
Au  0.282  0.000  0.674 x2

## Properties
Electronic total energy, eV per atom: -5.52
Offset from the most stable computed form, eV/atom: 0.151
Density, g/cm3: 15.069
Formation energy from raw total energies, eV per atom: 0.2798

=====

(10)
DFT (PBE-GGA) results for a geometry-optimized SiOsAu structure.

Cell: 3.012 4.940 12.765 Å, 90.00 90.00 90.00°
Space group Fmm2 (No. 42)
Inequivalent atoms, fractional coordinates:
Si  0.000  0.000  0.000 x4
Os  0.000  0.000  0.364 x4
Au  0.000  0.000  0.669 x4

## Properties
Electronic total energy, eV per atom: -6.26
Offset from the most stable computed form, eV/atom: 0.279
Density, g/cm3: 14.523
Formation energy from raw total energies, eV per atom: 0.3821

=====

(11)
DFT (PBE-GGA) results for a geometry-optimized SiOsAu2 structure.

Cell: 3.597 2.894 12.512 Å, 90.00 90.00 90.00°
Space group Amm2 (No. 38)
Inequivalent atoms, fractional coordinates:
Si  0.000  0.000  0.000 x2
Os  0.500  0.000  0.437 x2
Au  0.000  0.000  0.786 x2
Au  0.500  0.000  0.147 x2

## Properties
Electronic total energy, eV per atom: -5.67
Offset from the most stable computed form, eV/atom: 0.000
Density, g/cm3: 15.611
Formation energy from raw total energies, eV per atom: 0.1284

=====

(12)
DFT (PBE-GGA) results for a geometry-optimized SiOs2Au structure.

Cell: 6.172 6.172 6.172 Å, 90.00 90.00 90.00°
Space group Fm-3m (No. 225)
Inequivalent atoms, fractional coordinates:
Si  0.000  0.000  0.000 x4
Os  0.250  0.250  0.250 x8
Au  0.000  0.000  0.500 x4

## Properties
Electronic total energy, eV per atom: -7.29
Offset from the most stable computed form, eV/atom: 0.349
Density, g/cm3: 17.109
Formation energy from raw total energies, eV per atom: 0.4956

=====

(13)
DFT (PBE-GGA) results for a geometry-optimized SiOsAu2 structure.

Cell: 3.811 3.811 8.922 Å, 90.00 90.00 90.00°
Space group I4/mmm (No. 139)
Inequivalent atoms, fractional coordinates:
Si  0.000  0.000  0.000 x2
Os  0.000  0.000  0.500 x2
Au  0.000  0.500  0.250 x4

## Properties
Electronic total energy, eV per atom: -5.23
Offset from the most stable computed form, eV/atom: 0.448
Density, g/cm3: 15.689
Formation energy from raw total energies, eV per atom: 0.5766

=====

(14)
DFT (PBE-GGA) results for a geometry-optimized SiOs2Au structure.

Cell: 3.990 2.926 10.246 Å, 90.00 90.00 90.00°
Space group Amm2 (No. 38)
Inequivalent atoms, fractional coordinates:
Si  0.000  0.000  0.000 x2
Os  0.000  0.000  0.255 x2
Os  0.500  0.000  0.864 x2
Au  0.500  0.000  0.603 x2

## Properties
Electronic total energy, eV per atom: -7.47
Offset from the most stable computed form, eV/atom: 0.172
Density, g/cm3: 16.815
Formation energy from raw total energies, eV per atom: 0.3182

=====

(15)
DFT (PBE-GGA) results for a geometry-optimized SiOsAu3 structure.

Cell: 5.007 5.007 5.007 Å, 90.00 90.00 90.00°
Space group Pm-3m (No. 221)
Inequivalent atoms, fractional coordinates:
Si  0.000  0.000  0.000 x1
Os  0.500  0.500  0.500 x1
Au  0.000  0.500  0.500 x3

## Properties
Electronic total energy, eV per atom: -3.80
Offset from the most stable computed form, eV/atom: 0.302
Density, g/cm3: 10.707
Formation energy from raw total energies, eV per atom: 1.4993

=====

(16)
DFT (PBE-GGA) results for a geometry-optimized Si3OsAu structure.

Cell: 4.647 4.647 4.647 Å, 90.00 90.00 90.00°
Space group Pm-3m (No. 221)
Inequivalent atoms, fractional coordinates:
Si  0.000  0.000  0.500 x3
Os  0.000  0.000  0.000 x1
Au  0.500  0.500  0.500 x1

## Properties
Electronic total energy, eV per atom: -5.72
Offset from the most stable computed form, eV/atom: 0.000
Density, g/cm3: 7.800
Formation energy from raw total energies, eV per atom: 0.4361

=====

(17)
DFT (PBE-GGA) results for a geometry-optimized Si2OsAu structure.

Cell: 2.869 5.120 8.621 Å, 90.00 90.00 90.00°
Space group Cmmm (No. 65)
Inequivalent atoms, fractional coordinates:
Si  0.000  0.000  0.226 x4
Os  0.000  0.500  0.000 x2
Au  0.000  0.500  0.500 x2

## Properties
Electronic total energy, eV per atom: -6.01
Offset from the most stable computed form, eV/atom: 0.384
Density, g/cm3: 11.628
Formation energy from raw total energies, eV per atom: 0.3273

=====

(18)
DFT (PBE-GGA) results for a geometry-optimized SiOsAu2 structure.

Cell: 4.229 4.229 7.091 Å, 90.00 90.00 90.00°
Space group I-4m2 (No. 119)
Inequivalent atoms, fractional coordinates:
Si  0.000  0.000  0.000 x2
Os  0.000  0.500  0.250 x2
Au  0.000  0.000  0.500 x2
Au  0.000  0.500  0.750 x2

## Properties
Electronic total energy, eV per atom: -5.33
Offset from the most stable computed form, eV/atom: 0.342
Density, g/cm3: 16.033
Formation energy from raw total energies, eV per atom: 0.4708

=====

(19)
DFT (PBE-GGA) results for a geometry-optimized SiOsAu2 structure.

Cell: 3.873 3.873 4.207 Å, 90.00 90.00 90.00°
Space group P4/mmm (No. 123)
Inequivalent atoms, fractional coordinates:
Si  0.000  0.000  0.000 x1
Os  0.500  0.500  0.000 x1
Au  0.000  0.500  0.500 x2

## Properties
Electronic total energy, eV per atom: -5.38
Offset from the most stable computed form, eV/atom: 0.293
Density, g/cm3: 16.110
Formation energy from raw total energies, eV per atom: 0.4218

=====

(20)
DFT (PBE-GGA) results for a geometry-optimized Si2OsAu structure.

Cell: 2.986 2.986 6.723 Å, 90.00 90.00 90.00°
Space group P4/mmm (No. 123)
Inequivalent atoms, fractional coordinates:
Si  0.000  0.000  0.218 x2
Os  0.500  0.500  0.000 x1
Au  0.500  0.500  0.500 x1

## Properties
Electronic total energy, eV per atom: -6.20
Offset from the most stable computed form, eV/atom: 0.199
Density, g/cm3: 12.280
Formation energy from raw total energies, eV per atom: 0.1425